(1)
{"formula": "Rb2Ag2Rh", "functional": "PBE", "state": "relaxed", "formation_enthalpy_0k_ev_per_fu": 2.017, "final_energy_ev_per_atom": -2.594, "lattice_angstrom": [[7.069, 0.000, 0.000], [0.000, 7.069, 0.000], [0.000, 0.000, 5.678]], "species": ["Rb", "Rb", "Rb", "Rb", "Ag", "Ag", "Ag", "Ag", "Rh", "Rh"], "frac_coords": [[0.181, 0.319, 0.000], [0.319, 0.819, 0.000], [0.681, 0.181, 0.000], [0.819, 0.681, 0.000], [0.141, 0.641, 0.500], [0.359, 0.141, 0.500], [0.641, 0.859, 0.500], [0.859, 0.359, 0.500], [0.000, 0.000, 0.500], [0.500, 0.500, 0.500]]}

(2)
{"formula": "K2Hg2Sb", "functional": "PBE", "state": "relaxed", "final_energy_ev_per_atom": -1.491, "e_form_raw_ev_per_atom": -0.11, "lattice_angstrom": [[9.762, 0.000, 0.000], [0.000, 9.762, 0.000], [0.000, 0.000, 3.708]], "species": ["K", "K", "K", "K", "Hg", "Hg", "Hg", "Hg", "Sb", "Sb"], "frac_coords": [[0.178, 0.322, 0.000], [0.322, 0.822, 0.000], [0.678, 0.178, 0.000], [0.822, 0.678, 0.000], [0.118, 0.618, 0.500], [0.382, 0.118, 0.500], [0.618, 0.882, 0.500], [0.882, 0.382, 0.500], [0.000, 0.000, 0.000], [0.500, 0.500, 0.000]]}

(3)
{"formula": "LaSmPd", "functional": "PBE", "state": "relaxed", "formation_enthalpy_0k_ev_per_fu": -1.659, "final_energy_ev_per_atom": -5.500, "lattice_angstrom": [[12.817, 0.000, 0.000], [0.000, 3.959, 0.000], [-4.963, 0.000, 6.841]], "species": ["La", "La", "La", "La", "Sm", "Sm", "Sm", "Sm", "Pd", "Pd", "Pd", "Pd"], "frac_coords": [[0.093, 0.000, 0.382], [0.407, 0.500, 0.618], [0.593, 0.500, 0.382], [0.907, 0.000, 0.618], [0.166, 0.500, 0.070], [0.334, 0.000, 0.930], [0.666, 0.000, 0.070], [0.834, 0.500, 0.930], [0.132, 0.500, 0.688], [0.368, 0.000, 0.312], [0.632, 0.000, 0.688], [0.868, 0.500, 0.312]]}

(4)
{"formula": "Ho4AlAg2", "functional": "PBE", "state": "relaxed", "formation_enthalpy_0k_ev_per_fu": -1.320, "final_energy_ev_per_atom": -4.154, "lattice_angstrom": [[2.536, 1.464, 8.123], [-2.536, 1.464, 8.123], [0.000, -2.929, 8.123]], "species": ["Ho", "Ho", "Ho", "Ho", "Al", "Ag", "Ag"], "frac_coords": [[0.119, 0.119, 0.119], [0.372, 0.372, 0.372], [0.628, 0.628, 0.628], [0.881, 0.881, 0.881], [0.500, 0.500, 0.500], [0.245, 0.245, 0.245], [0.755, 0.755, 0.755]]}

(5)
{"formula": "Na2Li2F3", "functional": "PBE", "state": "relaxed", "final_energy_ev_per_atom": -4.063, "e_form_raw_ev_per_atom": -2.34, "lattice_angstrom": [[11.275, 0.000, 0.000], [0.000, 3.174, 0.000], [-1.830, 0.000, 5.156]], "species": ["Na", "Na", "Na", "Na", "Li", "Li", "Li", "Li", "F", "F", "F", "F", "F", "F"], "frac_coords": [[0.109, 0.000, 0.332], [0.391, 0.500, 0.668], [0.609, 0.500, 0.332], [0.891, 0.000, 0.668], [0.152, 0.500, 0.835], [0.348, 0.000, 0.165], [0.652, 0.000, 0.835], [0.848, 0.500, 0.165], [0.000, 0.500, 0.500], [0.241, 0.000, 0.771], [0.259, 0.500, 0.229], [0.500, 0.000, 0.500], [0.741, 0.500, 0.771], [0.759, 0.000, 0.229]]}

(6)
{"formula": "BaAg3Sn2", "functional": "PBE", "state": "relaxed", "formation_enthalpy_0k_ev_per_fu": -1.625, "final_energy_ev_per_atom": -3.351, "lattice_angstrom": [[8.998, -2.400, 0.000], [8.998, 2.400, 0.000], [-3.500, 0.000, 7.376]], "species": ["Ba", "Ba", "Ag", "Ag", "Ag", "Ag", "Ag", "Ag", "Sn", "Sn", "Sn", "Sn"], "frac_coords": [[0.152, 0.152, 0.083], [0.848, 0.848, 0.917], [0.021, 0.021, 0.355], [0.307, 0.307, 0.541], [0.409, 0.409, 0.343], [0.591, 0.591, 0.657], [0.693, 0.693, 0.459], [0.979, 0.979, 0.645], [0.181, 0.181, 0.664], [0.475, 0.475, 0.806], [0.525, 0.525, 0.194], [0.819, 0.819, 0.336]]}

(7)
{"formula": "RbNa3Be4Cl12", "functional": "PBE", "state": "relaxed", "final_energy_ev_per_atom": -3.675, "e_form_raw_ev_per_atom": -1.58, "lattice_angstrom": [[6.725, 3.883, 3.670], [-6.725, 3.883, 3.670], [0.000, -7.766, 3.670]], "species": ["Rb", "Na", "Na", "Na", "Be", "Be", "Be", "Be", "Cl", "Cl", "Cl", "Cl", "Cl", "Cl", "Cl", "Cl", "Cl", "Cl", "Cl", "Cl"], "frac_coords": [[0.000, 0.000, 0.000], [0.000, 0.550, 0.450], [0.450, 0.000, 0.550], [0.550, 0.450, 0.000], [0.054, 0.500, 0.946], [0.500, 0.500, 0.500], [0.500, 0.946, 0.054], [0.946, 0.054, 0.500], [0.042, 0.635, 0.795], [0.090, 0.910, 0.500], [0.205, 0.365, 0.958], [0.357, 0.643, 0.500], [0.365, 0.958, 0.205], [0.500, 0.090, 0.910], [0.500, 0.357, 0.643], [0.635, 0.795, 0.042], [0.643, 0.500, 0.357], [0.795, 0.042, 0.635], [0.910, 0.500, 0.090], [0.958, 0.205, 0.365]]}

(8)
{"formula": "U8CoSe17", "functional": "PBE", "state": "relaxed", "final_energy_ev_per_atom": -7.111, "e_form_raw_ev_per_atom": -1.09, "lattice_angstrom": [[6.907, -4.352, 0.000], [6.907, 4.352, 0.000], [-2.222, 0.000, 10.553]], "species": ["U", "U", "U", "U", "U", "U", "U", "U", "Co", "Se", "Se", "Se", "Se", "Se", "Se", "Se", "Se", "Se", "Se", "Se", "Se", "Se", "Se", "Se", "Se", "Se"], "frac_coords": [[0.179, 0.696, 0.798], [0.201, 0.201, 0.955], [0.304, 0.821, 0.202], [0.320, 0.320, 0.486], [0.680, 0.680, 0.514], [0.696, 0.179, 0.798], [0.799, 0.799, 0.045], [0.821, 0.304, 0.202], [0.000, 0.000, 0.500], [0.000, 0.000, 0.000], [0.053, 0.053, 0.722], [0.053, 0.681, 0.525], [0.182, 0.565, 0.037], [0.216, 0.216, 0.223], [0.298, 0.298, 0.744], [0.319, 0.947, 0.475], [0.435, 0.818, 0.963], [0.479, 0.479, 0.330], [0.521, 0.521, 0.670], [0.565, 0.182, 0.037], [0.681, 0.053, 0.525], [0.702, 0.702, 0.256], [0.784, 0.784, 0.777], [0.818, 0.435, 0.963], [0.947, 0.319, 0.475], [0.947, 0.947, 0.278]]}